No. 1
A geometry-optimized CsAg2HgPb structure, computed with PBE.

Output
- Fermi-level density of states (states/eV/f.u.) = 2.170
- M_tot (μB/f.u.) = 0.00
- energy of formation from the pure elements (eV per atom) = 0.09

CIF file:
```
data_CsAg2HgPb
_chemical_formula_sum 'Cs1 Ag2 Hg1 Pb1'
_space_group_name_H-M_alt 'P 4/m m m'
_space_group_IT_number 123
_space_group_name_Hall '-P 4 2'
_cell_length_a 5.512
_cell_length_b 5.512
_cell_length_c 6.208
_cell_angle_alpha 90.00
_cell_angle_beta 90.00
_cell_angle_gamma 90.00
loop_
_atom_site_label
_atom_site_type_symbol
_atom_site_fract_x
_atom_site_fract_y
_atom_site_fract_z
Cs1 Cs 0.000 0.000 0.000
Ag1 Ag 0.000 0.500 0.500
Hg1 Hg 0.500 0.500 0.000
Pb1 Pb 0.500 0.500 0.500
```

=====

No. 2
A geometry-optimized GeRhPb3 structure, computed with PBE.

Output
- Fermi-level density of states (states/eV/f.u.) = 4.247
- M_tot (μB/f.u.) = 0.00
- energy above the lowest structure with this stoichiometry (meV per atom) = 670.9
- energy of formation from the pure elements (eV per atom) = 0.95

CIF file:
```
data_GeRhPb3
_chemical_formula_sum 'Ge1 Rh1 Pb3'
_space_group_name_H-M_alt 'P m -3 m'
_space_group_IT_number 221
_space_group_name_Hall '-P 4 2 3'
_cell_length_a 5.401
_cell_length_b 5.401
_cell_length_c 5.401
_cell_angle_alpha 90.00
_cell_angle_beta 90.00
_cell_angle_gamma 90.00
loop_
_atom_site_label
_atom_site_type_symbol
_atom_site_fract_x
_atom_site_fract_y
_atom_site_fract_z
Ge1 Ge 0.000 0.000 0.000
Rh1 Rh 0.500 0.500 0.500
Pb1 Pb 0.000 0.000 0.500
```

=====

No. 3
A geometry-optimized Tb2DyYP4 structure, computed with PBE.

Output
- Fermi-level density of states (states/eV/f.u.) = 0.863
- M_tot (μB/f.u.) = 0.00
- energy of formation from the pure elements (eV per atom) = -1.62

CIF file:
```
data_Tb2DyYP4
_chemical_formula_sum 'Tb2 Dy1 Y1 P4'
_space_group_name_H-M_alt 'P 1 2/m 1'
_space_group_IT_number 10
_cell_length_a 6.961
_cell_length_b 4.020
_cell_length_c 6.961
_cell_angle_alpha 90.00
_cell_angle_beta 109.46
_cell_angle_gamma 90.00
loop_
_space_group_symop_operation_xyz
'x,y,z'
'-x,-y,-z'
'-x,y,-z'
'x,-y,z'
loop_
_atom_site_label
_atom_site_type_symbol
_atom_site_fract_x
_atom_site_fract_y
_atom_site_fract_z
Tb1 Tb 0.000 0.000 0.000
Tb2 Tb 0.000 0.500 0.500
Dy1 Dy 0.500 0.000 0.500
Y1 Y 0.500 0.500 0.000
P1 P 0.251 0.000 0.750
P2 P 0.251 0.500 0.251
```

=====

No. 4
A geometry-optimized YPtN2 structure, computed with PBE.

Output
- Fermi-level density of states (states/eV/f.u.) = 3.120
- M_tot (μB/f.u.) = 0.00
- energy above the lowest structure with this stoichiometry (meV per atom) = 700.1
- formation energy (no corrections) (eV/atom) = 0.45

CIF file:
```
data_YPtN2
_chemical_formula_sum 'Y3 Pt3 N6'
_space_group_name_H-M_alt 'R -3 m'
_space_group_IT_number 166
_space_group_name_Hall '-R 3 2"'
_cell_length_a 3.3856
_cell_length_b 3.3856
_cell_length_c 18.5216
_cell_angle_alpha 90.00
_cell_angle_beta 90.00
_cell_angle_gamma 120.00
loop_
_atom_site_label
_atom_site_type_symbol
_atom_site_fract_x
_atom_site_fract_y
_atom_site_fract_z
Y1 Y 0.0000 0.0000 0.0000
Pt1 Pt 0.0000 0.0000 0.5000
N1 N 0.0000 0.0000 0.1210
```

=====

No. 5
A geometry-optimized Ac8SnN4 structure, computed with PBE.

Output
- Fermi-level density of states (states/eV/f.u.) = 9.649
- M_tot (μB/f.u.) = 0.00
- formation energy (no corrections) (eV/atom) = -0.64

CIF file:
```
data_Ac8SnN4
_chemical_formula_sum 'Ac24 Sn3 N12'
_space_group_name_H-M_alt 'R -3 m'
_space_group_IT_number 166
_space_group_name_Hall '-R 3 2"'
_cell_length_a 7.8794
_cell_length_b 7.8794
_cell_length_c 22.7520
_cell_angle_alpha 90.00
_cell_angle_beta 90.00
_cell_angle_gamma 120.00
loop_
_atom_site_label
_atom_site_type_symbol
_atom_site_fract_x
_atom_site_fract_y
_atom_site_fract_z
Ac1 Ac 0.0000 0.0000 0.2327
Ac2 Ac 0.0061 0.5030 0.2318
Sn1 Sn 0.0000 0.0000 0.0000
N1 N 0.0000 0.0000 0.5000
N2 N 0.0000 0.5000 0.5000
```

=====

No. 6
A geometry-optimized Ta3Bi structure, computed with PBE.

Output
- Fermi-level density of states (states/eV/f.u.) = 1.691
- M_tot (μB/f.u.) = 0.00
- energy of formation from the pure elements (eV per atom) = 0.35

CIF file:
```
data_Ta3Bi
_chemical_formula_sum 'Ta3 Bi1'
_space_group_name_H-M_alt 'P m -3 m'
_space_group_IT_number 221
_space_group_name_Hall '-P 4 2 3'
_cell_length_a 4.276
_cell_length_b 4.276
_cell_length_c 4.276
_cell_angle_alpha 90.00
_cell_angle_beta 90.00
_cell_angle_gamma 90.00
loop_
_atom_site_label
_atom_site_type_symbol
_atom_site_fract_x
_atom_site_fract_y
_atom_site_fract_z
Ta1 Ta 0.000 0.000 0.500
Bi1 Bi 0.500 0.500 0.500
```

=====

No. 7
A geometry-optimized NbCdPdO2 structure, computed with PBE.

Output
- Fermi-level density of states (states/eV/f.u.) = 1.320
- M_tot (μB/f.u.) = 0.00
- formation energy (no corrections) (eV/atom) = -1.20

CIF file:
```
data_NbCdPdO2
_chemical_formula_sum 'Nb1 Cd1 Pd1 O2'
_space_group_name_H-M_alt 'P 4/m m m'
_space_group_IT_number 123
_space_group_name_Hall '-P 4 2'
_cell_length_a 3.927
_cell_length_b 3.927
_cell_length_c 5.594
_cell_angle_alpha 90.00
_cell_angle_beta 90.00
_cell_angle_gamma 90.00
loop_
_atom_site_label
_atom_site_type_symbol
_atom_site_fract_x
_atom_site_fract_y
_atom_site_fract_z
Nb1 Nb 0.000 0.000 0.000
Cd1 Cd 0.500 0.500 0.500
Pd1 Pd 0.000 0.000 0.500
O1 O 0.000 0.500 0.000
```

=====

No. 8
A geometry-optimized HgAu2Cl structure, computed with PBE.

Output
- Fermi-level density of states (states/eV/f.u.) = 1.164
- M_tot (μB/f.u.) = 0.00
- energy above the lowest structure with this stoichiometry (meV per atom) = 254.1
- formation energy (no corrections) (eV/atom) = 0.22

CIF file:
```
data_HgAu2Cl
_chemical_formula_sum 'Hg2 Au4 Cl2'
_space_group_name_H-M_alt 'C m m m'
_space_group_IT_number 65
_space_group_name_Hall '-C 2 2'
_cell_length_a 5.904
_cell_length_b 8.766
_cell_length_c 3.121
_cell_angle_alpha 90.00
_cell_angle_beta 90.00
_cell_angle_gamma 90.00
loop_
_atom_site_label
_atom_site_type_symbol
_atom_site_fract_x
_atom_site_fract_y
_atom_site_fract_z
Hg1 Hg 0.000 0.000 0.000
Au1 Au 0.250 0.250 0.500
Cl1 Cl 0.000 0.500 0.000
```

=====

What are the theoretical density values for these records? In order: 6.66; 8.40; 6.27; 8.45; 8.11; 15.97; 6.62; 12.95 g cm⁻³.